A relaxed RbBaTePb2 crystal. Source: the Alexandria database, functional GGA-PBE.

Geometry as POSCAR:
```
RbBaTePb2
1.0
6.3936 0.0000 0.0000
0.0000 6.3936 0.0000
0.0000 0.0000 6.6046
Rb Ba Te Pb
1 1 1 2
Direct
0.0000 0.0000 0.0000
0.0000 0.0000 0.5000
0.5000 0.5000 0.0000
0.0000 0.5000 0.5000
0.5000 0.0000 0.5000
```

Results
N(E_F), states/eV per atom: 1.289
Symmetry: P4/mmm (123)
E_form (uncorrected), meV/atom: 589

A relaxed InFe2Tc2 crystal. Source: the Alexandria database, functional GGA-PBE.

Geometry as POSCAR:
```
InFe2Tc2
1.0
7.3569 0.0000 0.0000
0.0000 7.3569 0.0000
0.0000 0.0000 2.6872
In Fe Tc
2 4 4
Direct
0.0000 0.0000 0.0000
0.5000 0.5000 0.0000
0.1632 0.3368 0.5000
0.3368 0.8368 0.5000
0.6632 0.1632 0.5000
0.8368 0.6632 0.5000
0.1237 0.6237 0.0000
0.3763 0.1237 0.0000
0.6237 0.8763 0.0000
0.8763 0.3763 0.0000
```

Results
N(E_F), states/eV per atom: 0.835
Polymorph energy (0 for the lowest one), meV per atom: 64
Symmetry: P4/mbm (127)
Formation energy from the elements, eV per atom: 0.33

A relaxed LiMnSe4 crystal. Source: the Alexandria database, functional GGA-PBE.

Geometry as POSCAR:
```
LiMnSe4
1.0
0.0000 4.0729 4.0729
4.0729 0.0000 4.0729
4.0729 4.0729 0.0000
Li Mn Se
1 1 4
Direct
0.0000 0.0000 0.0000
0.7500 0.7500 0.7500
0.3755 0.3755 0.3755
0.3755 0.3755 0.8736
0.3755 0.8736 0.3755
0.8736 0.3755 0.3755
```

Results
N(E_F), states/eV per atom: 0.387
Symmetry: F-43m (216)
E_form (uncorrected), meV/atom: 359

A relaxed ZrTaTc2 crystal. Source: the Alexandria database, functional GGA-PBE.

Geometry as POSCAR:
```
ZrTaTc2
1.0
2.9116 -4.3604 0.0000
2.9116 4.3604 0.0000
-1.0813 0.0000 2.6860
Zr Ta Tc
1 1 2
Direct
0.0000 0.0000 0.0000
0.5000 0.5000 0.0000
0.0000 0.5000 0.5000
0.5000 0.0000 0.5000
```

Results
N(E_F), states/eV per atom: 0.741
Symmetry: C2/m (12)
Formation energy from the elements, eV per atom: -0.14

A relaxed TbPr4Sm10 crystal. Source: the Alexandria database, functional GGA-PBE.

Geometry as POSCAR:
```
TbPr4Sm10
1.0
-4.9627 4.9627 5.3295
4.9627 -4.9627 5.3295
4.9627 4.9627 -5.3295
Tb Pr Sm
1 4 10
Direct
0.0000 0.0000 0.0000
0.0599 0.6711 0.7310
0.3289 0.0599 0.3888
0.6711 0.9401 0.6112
0.9401 0.3289 0.2690
0.1317 0.2238 0.6774
0.2238 0.5464 0.0921
0.2500 0.7500 0.5000
0.4543 0.1317 0.9079
0.4536 0.5457 0.6774
0.5464 0.4543 0.3226
0.5457 0.8683 0.0921
0.7500 0.2500 0.5000
0.7762 0.4536 0.9079
0.8683 0.7762 0.3226
```

Results
N(E_F), states/eV per atom: 1.377
Symmetry: I4/m (87)
Formation energy from the elements, eV per atom: 0.32

A relaxed CaSn2Au5 crystal. Source: the Alexandria database, functional GGA-PBE.

Geometry as POSCAR:
```
CaSn2Au5
1.0
-2.0215 3.5776 6.2499
2.0215 -3.5776 6.2499
2.0215 3.5776 -6.2499
Ca Sn Au
1 2 5
Direct
0.0000 0.0000 0.0000
0.2603 0.7603 0.5000
0.7397 0.2397 0.5000
0.1703 0.3843 0.7859
0.4016 0.6157 0.7859
0.5000 0.0000 0.5000
0.5984 0.3843 0.2141
0.8297 0.6157 0.2141
```

Results
N(E_F), states/eV per atom: 0.357
Symmetry: Immm (71)
Formation energy from the elements, eV per atom: -0.33

A relaxed MgCrPb2 crystal. Source: the Alexandria database, functional GGA-PBE.

Geometry as POSCAR:
```
MgCrPb2
1.0
-2.3552 2.3552 9.7141
2.3552 -2.3552 9.7141
2.3552 2.3552 -9.7141
Mg Cr Pb
2 2 4
Direct
0.0000 0.0000 0.0000
0.7500 0.2500 0.5000
0.2500 0.7500 0.5000
0.5000 0.5000 0.0000
0.1378 0.6250 0.0128
0.3750 0.3878 0.5128
0.6122 0.1250 0.9872
0.8750 0.8622 0.4872
```

Results
N(E_F), states/eV per atom: 0.472
Symmetry: I-42d (122)
Formation energy from the elements, eV per atom: 0.44

A relaxed Fe2CoBi crystal. Source: the Alexandria database, functional GGA-PBE.

Geometry as POSCAR:
```
Fe2CoBi
1.0
-1.8890 1.8890 8.6665
1.8890 -1.8890 8.6665
1.8890 1.8890 -8.6665
Fe Co Bi
4 2 2
Direct
0.0267 0.6250 0.9017
0.3750 0.2767 0.4017
0.7233 0.1250 0.0983
0.8750 0.9733 0.5983
0.0000 0.0000 0.0000
0.7500 0.2500 0.5000
0.2500 0.7500 0.5000
0.5000 0.5000 0.0000
```

Results
N(E_F), states/eV per atom: 2.606
Symmetry: I-42d (122)
Formation energy from the elements, eV per atom: 0.86

Which value of N(E_F) does entry 5 give? 1.377 states/eV per atom

N(E_F) of number 7 (MgCrPb2)? 0.472 states/eV per atom

Among the records above, which one has the highest N(E_F)? Fe2CoBi